Entry 1:
## CsPr2Tc2N6 (PBE)

Data for CsPr2Tc2N6 after structural relaxation.

a = 6.536 Å, b = 6.904 Å, c = 7.040 Å
α = 94.62°, β = 115.10°, γ = 117.17°
Space group P-1 (No. 2)
Unique sites:
Cs1 0.000 0.000 0.000 x1
Pr1 0.356 0.676 0.288 x2
Tc1 0.230 0.643 0.682 x2
N1 0.147 0.630 0.901 x2
N2 0.343 0.907 0.622 x2
N3 0.425 0.529 0.681 x2


Entry 2:
## Cs2PrTc2N6 (PBE)

Data for Cs2PrTc2N6 after structural relaxation.

a = 11.390 Å, b = 6.573 Å, c = 7.511 Å
α = 90.00°, β = 120.42°, γ = 90.00°
Space group C2/m (No. 12)
Unique sites:
Cs1 0.224 0.000 0.173 x4
Pr1 0.000 0.000 0.500 x2
Tc1 0.070 0.500 0.211 x4
N1 0.016 0.273 0.278 x8
N2 0.244 0.500 0.280 x4


Entry 3:
## CsPtN2 (PBE)

Data for CsPtN2 after structural relaxation.

a = 3.4344 Å, b = 3.4344 Å, c = 20.8747 Å
α = 90.00°, β = 90.00°, γ = 120.00°
Space group R-3m (No. 166, hexagonal axes)
Unique sites:
Cs1 0.0000 0.0000 0.0000 x3
Pt1 0.0000 0.0000 0.5000 x3
N1 0.0000 0.0000 0.1289 x6


Entry 4:
## Cs3PtN4 (PBE)

Data for Cs3PtN4 after structural relaxation.

a = 20.733 Å, b = 4.216 Å, c = 6.016 Å
α = 90.00°, β = 105.74°, γ = 90.00°
Space group C2/m (No. 12)
Unique sites:
Cs1 0.000 0.000 0.000 x2
Cs2 0.133 0.000 0.626 x4
Pt1 0.000 0.500 0.500 x2
N1 0.144 0.500 0.138 x4
N2 0.201 0.500 0.200 x4


Entry 5:
## CsPtSN2 (PBE)

Data for CsPtSN2 after structural relaxation.

a = 4.097 Å, b = 4.097 Å, c = 6.523 Å
α = 90.00°, β = 90.00°, γ = 90.00°
Space group P4/mmm (No. 123)
Unique sites:
Cs1 0.000 0.000 0.000 x1
Pt1 0.500 0.500 0.500 x1
S1 0.000 0.000 0.500 x1
N1 0.000 0.500 0.000 x2


Entry 6:
## CsPtSe2N (PBE)

Data for CsPtSe2N after structural relaxation.

Summary:
Relative energy among the computed polymorphs ... 2068 meV per atom

a = 5.875 Å, b = 5.875 Å, c = 4.398 Å
α = 90.00°, β = 90.00°, γ = 90.00°
Space group P4/mmm (No. 123)
Unique sites:
Cs1 0.000 0.000 0.000 x1
Pt1 0.500 0.500 0.500 x1
Se1 0.000 0.500 0.000 x2
N1 0.000 0.000 0.500 x1


| no. | ρ (g/cm³) | formation energy without anion corrections (meV per atom) |
| --- | --- | --- |
| 1 | 4.79 | -436.4 |
| 2 | 4.70 | -185.1 |
| 3 | 8.32 | 961.0 |
| 4 | 4.26 | -53.0 |
| 5 | 5.88 | 2833.0 |
| 6 | 5.47 | 2312.0 |